1.
Crystalline Cs4AgAu3Br12 at its relaxed geometry, computed with GGA-PBE.

Lattice parameters (Å, degrees): 9.500 9.500 9.500 109.47 109.47 109.47
Fractional positions:
Cs1 0.500 0.500 0.500
Cs2 0.000 0.000 0.500
Cs3 0.500 0.000 0.000
Cs4 0.000 0.500 0.000
Ag1 0.000 0.000 0.000
Au1 0.500 0.000 0.500
Au2 0.500 0.500 0.000
Au3 0.000 0.500 0.500
Br1 0.250 0.500 0.750
Br2 0.743 0.000 0.743
Br3 0.257 0.000 0.257
Br4 0.750 0.500 0.250
Br5 0.743 0.743 0.000
Br6 0.257 0.257 0.000
Br7 0.750 0.250 0.500
Br8 0.250 0.750 0.500
Br9 0.500 0.250 0.750
Br10 0.000 0.743 0.743
Br11 0.500 0.750 0.250
Br12 0.000 0.257 0.257

2.
Crystalline TlTeC2 at its relaxed geometry, computed with GGA-PBE.

Lattice parameters (Å, degrees): 5.279 5.279 6.573 66.33 66.33 90.00
Fractional positions:
Tl1 0.000 0.000 0.000
Tl2 0.750 0.250 0.500
Te1 0.500 0.500 0.000
Te2 0.250 0.750 0.500
C1 0.598 0.125 0.250
C2 0.152 0.625 0.250
C3 0.375 0.402 0.750
C4 0.875 0.848 0.750

Computed raw total energy, in the same sequence as the records: -53.220 -17.023 eV per formula unit.